Material: U2TlNiO8
Method: DFT, GGA+U
State: optimized geometry

Its crystal system is orthorhombic. As for the total moment: 2.16 μB/f.u. The electronic total energy is -0.579 Ry/atom.

The space group is Cmmm (No. 65) and the conventional cell measures 6.834, 7.106 and 7.041 Å, with angles of 90.00, 90.00 and 90.00 degrees. The asymmetric unit holds U at (0.000, 0.000, 0.243), Tl at (0.000, 0.500, 0.500), Ni at (0.000, 0.500, 0.000), O at (0.000, 0.176, 0.500), O at (0.000, 0.186, 0.000) and O at (0.209, 0.500, 0.222).